1.
Below is a relaxed LuAlTlTe3 crystal, with properties calculated at the PBE level.

## Properties
Energy relative to the lowest polymorph listed for this composition = 38 meV per atom
Space group = No. 62
Magnetization = 0.0 μB per cell

```
data_LuAlTlTe3
_chemical_formula_sum 'Lu4 Al4 Tl4 Te12'
_cell_length_a 11.912
_cell_length_b 4.883
_cell_length_c 12.890
_cell_angle_alpha 90.00
_cell_angle_beta 90.00
_cell_angle_gamma 90.00
_symmetry_space_group_name_H-M 'P 1'
_symmetry_Int_Tables_number 1
loop_
_symmetry_equiv_pos_as_xyz
'x,y,z'
loop_
_atom_site_label
_atom_site_fract_x
_atom_site_fract_y
_atom_site_fract_z
Al1 0.757 0.250 0.220
Al2 0.257 0.250 0.280
Al3 0.743 0.750 0.720
Al4 0.243 0.750 0.780
Lu1 0.019 0.750 0.182
Lu2 0.519 0.750 0.318
Lu3 0.481 0.250 0.682
Lu4 0.981 0.250 0.818
Te1 0.910 0.250 0.064
Te2 0.544 0.250 0.161
Te3 0.283 0.750 0.190
Te4 0.783 0.750 0.310
Te5 0.044 0.250 0.339
Te6 0.410 0.250 0.436
Te7 0.590 0.750 0.564
Te8 0.956 0.750 0.661
Te9 0.217 0.250 0.690
Te10 0.717 0.250 0.810
Te11 0.456 0.750 0.839
Te12 0.090 0.750 0.936
Tl1 0.688 0.750 0.004
Tl2 0.188 0.750 0.496
Tl3 0.812 0.250 0.504
Tl4 0.312 0.250 0.996
```


2.
Below is a relaxed TmLuAl crystal, with properties calculated at the PBE level.

## Properties
Energy relative to the lowest polymorph listed for this composition = 804 meV per atom
Space group = No. 216
Magnetization = 0.0 μB per cell

```
data_TmLuAl
_chemical_formula_sum 'Tm1 Lu1 Al1'
_cell_length_a 5.002
_cell_length_b 5.002
_cell_length_c 5.002
_cell_angle_alpha 60.00
_cell_angle_beta 60.00
_cell_angle_gamma 60.00
_symmetry_space_group_name_H-M 'P 1'
_symmetry_Int_Tables_number 1
loop_
_symmetry_equiv_pos_as_xyz
'x,y,z'
loop_
_atom_site_label
_atom_site_fract_x
_atom_site_fract_y
_atom_site_fract_z
Al1 0.250 0.250 0.250
Lu1 0.750 0.750 0.750
Tm1 0.000 0.000 0.000
```


3.
Below is a relaxed TmLuAl crystal, with properties calculated at the PBE level.

## Properties
Energy relative to the lowest polymorph listed for this composition = 0 meV per atom
Space group = No. 62
Magnetization = 0.0 μB per cell

```
data_TmLuAl
_chemical_formula_sum 'Tm4 Lu4 Al4'
_cell_length_a 6.452
_cell_length_b 5.006
_cell_length_c 9.266
_cell_angle_alpha 90.00
_cell_angle_beta 90.00
_cell_angle_gamma 90.00
_symmetry_space_group_name_H-M 'P 1'
_symmetry_Int_Tables_number 1
loop_
_symmetry_equiv_pos_as_xyz
'x,y,z'
loop_
_atom_site_label
_atom_site_fract_x
_atom_site_fract_y
_atom_site_fract_z
Al1 0.793 0.750 0.104
Al2 0.293 0.750 0.396
Al3 0.707 0.250 0.604
Al4 0.207 0.250 0.896
Lu1 0.028 0.250 0.212
Lu2 0.528 0.250 0.288
Lu3 0.472 0.750 0.712
Lu4 0.972 0.750 0.788
Tm1 0.314 0.750 0.071
Tm2 0.814 0.750 0.429
Tm3 0.186 0.250 0.571
Tm4 0.686 0.250 0.929
```


4.
Below is a relaxed Lu6Al43W4 crystal, with properties calculated at the PBE level.

## Properties
Space group = No. 193
Magnetization = 0.0 μB per cell

```
data_Lu6Al43W4
_chemical_formula_sum 'Lu12 Al86 W8'
_cell_length_a 10.972
_cell_length_b 10.972
_cell_length_c 17.608
_cell_angle_alpha 90.00
_cell_angle_beta 90.00
_cell_angle_gamma 120.00
_symmetry_space_group_name_H-M 'P 1'
_symmetry_Int_Tables_number 1
loop_
_symmetry_equiv_pos_as_xyz
'x,y,z'
loop_
_atom_site_label
_atom_site_fract_x
_atom_site_fract_y
_atom_site_fract_z
Al1 0.494 0.247 0.000
Al2 0.753 0.247 0.000
Al3 0.247 0.494 0.000
Al4 0.753 0.506 0.000
Al5 0.247 0.753 0.000
Al6 0.506 0.753 0.000
Al7 0.744 0.000 0.030
Al8 0.256 0.256 0.030
Al9 0.000 0.744 0.030
Al10 0.161 0.000 0.114
Al11 0.000 0.161 0.114
Al12 0.839 0.839 0.114
Al13 0.667 0.333 0.125
Al14 0.333 0.667 0.125
Al15 0.763 0.157 0.163
Al16 0.395 0.237 0.163
Al17 0.237 0.395 0.163
Al18 0.843 0.605 0.163
Al19 0.157 0.763 0.163
Al20 0.605 0.843 0.163
Al21 0.851 0.000 0.250
Al22 0.553 0.148 0.250
Al23 0.149 0.149 0.250
Al24 0.852 0.405 0.250
Al25 0.595 0.447 0.250
Al26 0.148 0.553 0.250
Al27 0.447 0.595 0.250
Al28 0.000 0.851 0.250
Al29 0.405 0.852 0.250
Al30 0.763 0.157 0.337
Al31 0.395 0.237 0.337
Al32 0.237 0.395 0.337
Al33 0.843 0.605 0.337
Al34 0.157 0.763 0.337
Al35 0.605 0.843 0.337
Al36 0.667 0.333 0.375
Al37 0.333 0.667 0.375
Al38 0.161 0.000 0.386
Al39 0.000 0.161 0.386
Al40 0.839 0.839 0.386
Al41 0.744 0.000 0.470
Al42 0.256 0.256 0.470
Al43 0.000 0.744 0.470
Al44 0.494 0.247 0.500
Al45 0.753 0.247 0.500
Al46 0.247 0.494 0.500
Al47 0.753 0.506 0.500
Al48 0.247 0.753 0.500
Al49 0.506 0.753 0.500
Al50 0.256 0.000 0.530
Al51 0.000 0.256 0.530
Al52 0.744 0.744 0.530
Al53 0.839 0.000 0.614
Al54 0.161 0.161 0.614
Al55 0.000 0.839 0.614
Al56 0.667 0.333 0.625
Al57 0.333 0.667 0.625
Al58 0.395 0.157 0.663
Al59 0.843 0.237 0.663
Al60 0.157 0.395 0.663
Al61 0.763 0.605 0.663
Al62 0.605 0.763 0.663
Al63 0.237 0.843 0.663
Al64 0.149 0.000 0.750
Al65 0.595 0.148 0.750
Al66 0.000 0.149 0.750
Al67 0.553 0.405 0.750
Al68 0.852 0.447 0.750
Al69 0.405 0.553 0.750
Al70 0.148 0.595 0.750
Al71 0.851 0.851 0.750
Al72 0.447 0.852 0.750
Al73 0.395 0.157 0.837
Al74 0.843 0.237 0.837
Al75 0.157 0.395 0.837
Al76 0.763 0.605 0.837
Al77 0.605 0.763 0.837
Al78 0.237 0.843 0.837
Al79 0.667 0.333 0.875
Al80 0.333 0.667 0.875
Al81 0.839 0.000 0.886
Al82 0.161 0.161 0.886
Al83 0.000 0.839 0.886
Al84 0.256 0.000 0.970
Al85 0.000 0.256 0.970
Al86 0.744 0.744 0.970
Lu1 0.467 0.000 0.096
Lu2 0.000 0.467 0.096
Lu3 0.533 0.533 0.096
Lu4 0.467 0.000 0.404
Lu5 0.000 0.467 0.404
Lu6 0.533 0.533 0.404
Lu7 0.533 0.000 0.596
Lu8 0.467 0.467 0.596
Lu9 0.000 0.533 0.596
Lu10 0.533 0.000 0.904
Lu11 0.467 0.467 0.904
Lu12 0.000 0.533 0.904
W1 0.000 0.000 0.000
W2 0.272 0.000 0.250
W3 0.000 0.272 0.250
W4 0.728 0.728 0.250
W5 0.000 0.000 0.500
W6 0.728 0.000 0.750
W7 0.272 0.272 0.750
W8 0.000 0.728 0.750
```


5.
Below is a relaxed YLu2Al crystal, with properties calculated at the PBE level.

## Properties
Space group = No. 216
Magnetization = 0.1 μB per cell

```
data_YLu2Al
_chemical_formula_sum 'Y1 Lu2 Al1'
_cell_length_a 5.275
_cell_length_b 5.275
_cell_length_c 5.275
_cell_angle_alpha 60.00
_cell_angle_beta 60.00
_cell_angle_gamma 60.00
_symmetry_space_group_name_H-M 'P 1'
_symmetry_Int_Tables_number 1
loop_
_symmetry_equiv_pos_as_xyz
'x,y,z'
loop_
_atom_site_label
_atom_site_fract_x
_atom_site_fract_y
_atom_site_fract_z
Al1 0.500 0.500 0.500
Lu1 0.000 0.000 0.000
Lu2 0.750 0.750 0.750
Y1 0.250 0.250 0.250
```


6.
Below is a relaxed LuAlZn crystal, with properties calculated at the PBE level.

## Properties
Space group = No. 216
Magnetization = 0.0 μB per cell

```
data_LuAlZn
_chemical_formula_sum 'Lu1 Al1 Zn1'
_cell_length_a 4.701
_cell_length_b 4.701
_cell_length_c 4.701
_cell_angle_alpha 60.00
_cell_angle_beta 60.00
_cell_angle_gamma 60.00
_symmetry_space_group_name_H-M 'P 1'
_symmetry_Int_Tables_number 1
loop_
_symmetry_equiv_pos_as_xyz
'x,y,z'
loop_
_atom_site_label
_atom_site_fract_x
_atom_site_fract_y
_atom_site_fract_z
Al1 0.250 0.250 0.250
Lu1 0.000 0.000 0.000
Zn1 0.750 0.750 0.750
```


7.
Below is a relaxed LuAlZn crystal, with properties calculated at the PBE level.

## Properties
Space group = No. 216
Magnetization = 0.0 μB per cell

```
data_LuAlZn
_chemical_formula_sum 'Lu1 Al1 Zn1'
_cell_length_a 4.560
_cell_length_b 4.560
_cell_length_c 4.560
_cell_angle_alpha 60.00
_cell_angle_beta 60.00
_cell_angle_gamma 60.00
_symmetry_space_group_name_H-M 'P 1'
_symmetry_Int_Tables_number 1
loop_
_symmetry_equiv_pos_as_xyz
'x,y,z'
loop_
_atom_site_label
_atom_site_fract_x
_atom_site_fract_y
_atom_site_fract_z
Al1 0.000 0.000 0.000
Lu1 0.250 0.250 0.250
Zn1 0.750 0.750 0.750
```


8.
Below is a relaxed LuAlZn crystal, with properties calculated at the PBE level.

## Properties
Space group = No. 187
Magnetization = 0.0 μB per cell

```
data_LuAlZn
_chemical_formula_sum 'Lu1 Al1 Zn1'
_cell_length_a 4.454
_cell_length_b 4.454
_cell_length_c 3.395
_cell_angle_alpha 90.00
_cell_angle_beta 90.00
_cell_angle_gamma 120.00
_symmetry_space_group_name_H-M 'P 1'
_symmetry_Int_Tables_number 1
loop_
_symmetry_equiv_pos_as_xyz
'x,y,z'
loop_
_atom_site_label
_atom_site_fract_x
_atom_site_fract_y
_atom_site_fract_z
Al1 0.333 0.667 0.500
Lu1 0.667 0.333 0.000
Zn1 0.000 0.000 0.500
```


9.
Below is a relaxed LuZrAl crystal, with properties calculated at the PBE level.

## Properties
Energy relative to the lowest polymorph listed for this composition = 0 meV per atom
Space group = No. 216
Magnetization = 0.0 μB per cell

```
data_LuZrAl
_chemical_formula_sum 'Lu1 Zr1 Al1'
_cell_length_a 4.778
_cell_length_b 4.778
_cell_length_c 4.778
_cell_angle_alpha 60.00
_cell_angle_beta 60.00
_cell_angle_gamma 60.00
_symmetry_space_group_name_H-M 'P 1'
_symmetry_Int_Tables_number 1
loop_
_symmetry_equiv_pos_as_xyz
'x,y,z'
loop_
_atom_site_label
_atom_site_fract_x
_atom_site_fract_y
_atom_site_fract_z
Al1 0.000 0.000 0.000
Lu1 0.250 0.250 0.250
Zr1 0.750 0.750 0.750
```


10.
Below is a relaxed LuZr2Al crystal, with properties calculated at the PBE level.

## Properties
Space group = No. 216
Magnetization = 1.9 μB per cell

```
data_LuZr2Al
_chemical_formula_sum 'Lu1 Zr2 Al1'
_cell_length_a 5.031
_cell_length_b 5.031
_cell_length_c 5.031
_cell_angle_alpha 60.00
_cell_angle_beta 60.00
_cell_angle_gamma 60.00
_symmetry_space_group_name_H-M 'P 1'
_symmetry_Int_Tables_number 1
loop_
_symmetry_equiv_pos_as_xyz
'x,y,z'
loop_
_atom_site_label
_atom_site_fract_x
_atom_site_fract_y
_atom_site_fract_z
Al1 0.500 0.500 0.500
Lu1 0.250 0.250 0.250
Zr1 0.000 0.000 0.000
Zr2 0.750 0.750 0.750
```


11.
Below is a relaxed NaMgNb2Al2Os2 crystal, with properties calculated at the PBE level.

## Properties
Space group = No. 115
Magnetization = 0.0 μB per cell

```
data_NaMgNb2Al2Os2
_chemical_formula_sum 'Na1 Mg1 Nb2 Al2 Os2'
_cell_length_a 4.480
_cell_length_b 4.480
_cell_length_c 6.326
_cell_angle_alpha 90.00
_cell_angle_beta 90.00
_cell_angle_gamma 90.00
_symmetry_space_group_name_H-M 'P 1'
_symmetry_Int_Tables_number 1
loop_
_symmetry_equiv_pos_as_xyz
'x,y,z'
loop_
_atom_site_label
_atom_site_fract_x
_atom_site_fract_y
_atom_site_fract_z
Al1 0.000 0.500 0.250
Al2 0.500 0.000 0.750
Mg1 0.000 0.000 0.000
Na1 0.500 0.500 0.500
Nb1 0.500 0.000 0.252
Nb2 0.000 0.500 0.748
Os1 0.500 0.500 0.000
Os2 0.000 0.000 0.500
```


12.
Below is a relaxed Na2Mg2AlSiPd2 crystal, with properties calculated at the PBE level.

## Properties
Space group = No. 115

```
data_Na2Mg2AlSiPd2
_chemical_formula_sum 'Na2 Mg2 Al1 Si1 Pd2'
_cell_length_a 4.559
_cell_length_b 4.559
_cell_length_c 6.458
_cell_angle_alpha 90.00
_cell_angle_beta 90.00
_cell_angle_gamma 90.00
_symmetry_space_group_name_H-M 'P 1'
_symmetry_Int_Tables_number 1
loop_
_symmetry_equiv_pos_as_xyz
'x,y,z'
loop_
_atom_site_label
_atom_site_fract_x
_atom_site_fract_y
_atom_site_fract_z
Al1 0.000 0.000 0.000
Mg1 0.500 0.500 0.000
Mg2 0.000 0.000 0.500
Na1 0.500 0.000 0.255
Na2 0.000 0.500 0.745
Pd1 0.000 0.500 0.253
Pd2 0.500 0.000 0.747
Si1 0.500 0.500 0.500
```


| no. | total DFT energy (no corrections) (eV per atom) |
| --- | --- |
| 1 | -3.96 |
| 2 | -3.74 |
| 3 | -4.54 |
| 4 | -4.78 |
| 5 | -4.88 |
| 6 | -2.89 |
| 7 | -3.25 |
| 8 | -3.61 |
| 9 | -5.50 |
| 10 | -6.38 |
| 11 | -6.72 |
| 12 | -3.38 |